Record 1
Density functional theory data (PBE) for crystalline RbTlAgBr6 at its relaxed geometry.

## Properties
SG = C2
Uncorrected formation energy = -64 kJ per mole of atoms

abc: 7.113 7.113 7.568
angles: 93.34 93.34 113.94
Sites, in units of the cell vectors:
Rb  0.000  0.000  0.000
Tl  0.662  0.338  0.500
Ag  0.315  0.685  0.500
Br  0.356  0.027  0.688
Br  0.365  0.412  0.279
Br  0.588  0.635  0.721
Br  0.614  0.026  0.258
Br  0.973  0.644  0.312
Br  0.974  0.386  0.742

---

Record 2
Density functional theory data (PBE) for crystalline RbTl2AgBr5 at its relaxed geometry.

## Properties
SG = Cmc2_1
Uncorrected formation energy = -77 kJ per mole of atoms

abc: 11.836 11.836 12.721
angles: 90.00 90.00 158.75
Sites, in units of the cell vectors:
Rb  0.221  0.779  0.500
Rb  0.779  0.221  0.000
Tl  0.087  0.913  0.171
Tl  0.110  0.890  0.799
Tl  0.890  0.110  0.299
Tl  0.913  0.087  0.671
Ag  0.430  0.570  0.940
Ag  0.570  0.430  0.440
Br  0.064  0.936  0.559
Br  0.304  0.696  0.214
Br  0.336  0.664  0.818
Br  0.370  0.630  0.497
Br  0.493  0.507  0.283
Br  0.507  0.493  0.783
Br  0.630  0.370  0.997
Br  0.664  0.336  0.318
Br  0.696  0.304  0.714
Br  0.936  0.064  0.059

---

Record 3
Density functional theory data (PBE) for crystalline RbTlAg2Br6 at its relaxed geometry.

## Properties
SG = P1
Uncorrected formation energy = -63 kJ per mole of atoms

abc: 7.425 7.433 8.082
angles: 90.01 117.31 119.94
Sites, in units of the cell vectors:
Rb  0.000  0.000  0.000
Tl  0.942  0.471  0.412
Ag  0.565  0.282  0.848
Ag  0.609  0.804  0.413
Br  0.089  0.473  0.145
Br  0.092  0.214  0.622
Br  0.408  0.876  0.622
Br  0.530  0.057  0.145
Br  0.673  0.617  0.146
Br  0.746  0.530  0.623

---

Record 4
Density functional theory data (PBE) for crystalline Rb2TlAgBr6 at its relaxed geometry.

## Properties
SG = Fm-3m
Energy above the lowest structure with this stoichiometry = 13.5 meV/atom
Uncorrected formation energy = -94 kJ per mole of atoms

abc: 7.934 7.934 7.934
angles: 60.00 60.00 60.00
Sites, in units of the cell vectors:
Rb  0.250  0.250  0.250
Rb  0.750  0.750  0.750
Tl  0.000  0.000  0.000
Ag  0.500  0.500  0.500
Br  0.253  0.253  0.747
Br  0.253  0.747  0.253
Br  0.253  0.747  0.747
Br  0.747  0.253  0.253
Br  0.747  0.253  0.747
Br  0.747  0.747  0.253

---

Record 5
Density functional theory data (PBE) for crystalline RbTlAg2Br8 at its relaxed geometry.

## Properties
SG = I-4
Uncorrected formation energy = -50 kJ per mole of atoms

abc: 14.840 14.840 14.840
angles: 156.41 156.41 33.60
Sites, in units of the cell vectors:
Rb  0.000  0.000  0.000
Tl  0.250  0.750  0.500
Ag  0.500  0.500  0.000
Ag  0.750  0.250  0.500
Br  0.058  0.047  0.492
Br  0.164  0.436  0.744
Br  0.434  0.942  0.988
Br  0.555  0.566  0.508
Br  0.564  0.308  0.729
Br  0.580  0.836  0.271
Br  0.692  0.420  0.256
Br  0.953  0.445  0.012

---

Record 6
Density functional theory data (PBE) for crystalline RbTlAg2Br4 at its relaxed geometry.

## Properties
SG = I222
Uncorrected formation energy = -78 kJ per mole of atoms

abc: 7.187 7.187 7.187
angles: 112.12 109.92 106.43
Sites, in units of the cell vectors:
Rb  0.000  0.000  0.000
Tl  0.500  0.500  0.000
Ag  0.318  0.818  0.500
Ag  0.682  0.182  0.500
Br  0.082  0.018  0.518
Br  0.500  0.564  0.482
Br  0.500  0.982  0.064
Br  0.918  0.436  0.936

---

Record 7
Density functional theory data (PBE) for crystalline Rb2TlAgBr5 at its relaxed geometry.

## Properties
SG = P4/mmm
Uncorrected formation energy = -101 kJ per mole of atoms

abc: 5.265 5.265 12.075
angles: 90.00 90.00 90.00
Sites, in units of the cell vectors:
Rb  0.000  0.000  0.214
Rb  0.000  0.000  0.786
Tl  0.500  0.500  0.500
Ag  0.500  0.500  0.000
Br  0.000  0.000  0.500
Br  0.000  0.500  0.000
Br  0.500  0.000  0.000
Br  0.500  0.500  0.244
Br  0.500  0.500  0.756

---

Record 8
Density functional theory data (PBE) for crystalline Rb2TmAg2Br6 at its relaxed geometry.

## Properties
SG = C2/m
Uncorrected formation energy = -119 kJ per mole of atoms

abc: 7.864 7.864 8.760
angles: 115.15 115.15 63.28
Sites, in units of the cell vectors:
Rb  0.214  0.214  0.160
Rb  0.786  0.786  0.840
Tm  0.000  0.000  0.500
Ag  0.448  0.448  0.821
Ag  0.552  0.552  0.179
Br  0.170  0.706  0.235
Br  0.223  0.223  0.557
Br  0.294  0.830  0.765
Br  0.706  0.170  0.235
Br  0.777  0.777  0.443
Br  0.830  0.294  0.765

---

- Look up the uncorrected formation energy of the second one.
  -77 kJ per mole of atoms